This record from Alexandria via LeMat-Bulk describes an optimized crystal structure of PmPaSe2. The functional is PBE.

Properties
The magnetization comes out at 1.031 μB/f.u. The uncorrected formation energy is -1.49 eV per atom. The total energy is -6.7941 eV/atom. The calculation puts the energy above the lowest structure with this stoichiometry at 0.000 eV/atom.

```
4
Lattice="2.022 1.167 7.055 -2.022 1.167 7.055 0.000 -2.335 7.055" Properties=species:S:1:pos:R:3 pbc="T T T"
Pm 0.000 0.000 0.000
Pa 0.000 0.000 10.583
Se 0.000 0.000 5.265
Se 0.000 0.000 15.900
```